AcHoNp | PBE-GGA | optimized geometry

Output
ΔH_f (0 K) (eV/atom): 1.162
Symmetry: No. 216
Total DFT energy (no corrections) (eV/atom): -5.99
Total magnetic moment (μB/f.u.): 5.03
Energy relative to the lowest polymorph listed for this composition (meV per atom): 0

abc: 5.5239 5.5239 5.5239
angles: 60.00 60.00 60.00
Last column: nearest neighbours and their distance in Å.
Atoms (fractional coordinates):
Ac: 0.2500 0.2500 0.2500  4 Ho 3.38
Ho: 0.0000 0.0000 0.0000  4 Ac 3.38, 4 Np 3.38
Np: 0.7500 0.7500 0.7500  4 Ho 3.38